The following is a DFT calculation (PBE) of a relaxed Ac5RuPt2N crystal.

The structure belongs to space group Cmc2_1 (No. 36); the cell edges are 4.3355, 18.3857 and 13.1826 Å and the angles 90.00°, 90.00° and 90.00°. The distinct sites, in fractional coordinates, are Ac at (0.0000, 0.0076, 0.0000), Ac at (0.0000, 0.1481, 0.2443), Ac at (0.0000, 0.1804, 0.6223), Ac at (0.0000, 0.2161, 0.9226), Ac at (0.0000, 0.4642, 0.2499), Ru at (0.0000, 0.3038, 0.2765), Pt at (0.0000, 0.3681, 0.5577), Pt at (0.0000, 0.3961, 0.9110) and N at (0.0000, 0.0455, 0.6605).

The value obtained for the total magnetization is 0.00 μB/atom. The calculated total energy is -229.3 eV/cell.

***

The following is a DFT calculation (PBE) of a relaxed Ac4PtS2N crystal.

The structure belongs to space group P2/m (No. 10); the cell edges are 7.4670, 4.1270 and 7.5778 Å and the angles 90.00°, 109.16° and 90.00°. The distinct sites, in fractional coordinates, are Ac at (0.2154, 0.0000, 0.2187), Ac at (0.2474, 0.5000, 0.7623), Pt at (0.5000, 0.0000, 0.0000), S at (0.0000, 0.0000, 0.5000), S at (0.5000, 0.5000, 0.5000) and N at (0.0000, 0.5000, 0.0000).

The value obtained for the total magnetization is 0.00 μB/atom. The calculated total energy is -50.7 eV/cell.

***

The following is a DFT calculation (PBE) of a relaxed Ac4SbPt2N crystal.

The structure belongs to space group Cmcm (No. 63); the cell edges are 4.4729, 14.7598 and 15.1336 Å and the angles 90.00°, 90.00° and 90.00°. The distinct sites, in fractional coordinates, are Ac at (0.0000, 0.0000, 0.0000), Ac at (0.0000, 0.2657, 0.1244), Ac at (0.0000, 0.4203, 0.7500), Sb at (0.0000, 0.1045, 0.7500), Pt at (0.0000, 0.3698, 0.5509) and N at (0.0000, 0.1672, 0.2500).

The value obtained for the total magnetization is 0.00 μB/atom. The calculated total energy is -198.9 eV/cell.

***

The following is a DFT calculation (PBE) of a relaxed Ac4Sb2PtN2 crystal.

The structure belongs to space group C2/m (No. 12); the cell edges are 16.1835, 4.4759 and 8.6656 Å and the angles 90.00°, 115.25° and 90.00°. The distinct sites, in fractional coordinates, are Ac at (0.0218, 0.0000, 0.2788), Ac at (0.2205, 0.5000, 0.6462), Sb at (0.0996, 0.5000, 0.0553), Pt at (0.0000, 0.5000, 0.5000) and N at (0.1762, 0.0000, 0.4922).

The value obtained for the total magnetization is 0.00 μB/atom. The calculated total energy is -113.5 eV/cell.

***

The following is a DFT calculation (PBE) of a relaxed Ac3SbPtN crystal.

The structure belongs to space group P2_1/m (No. 11); the cell edges are 9.3731, 4.4364 and 10.0642 Å and the angles 90.00°, 102.48° and 90.00°. The distinct sites, in fractional coordinates, are Ac at (0.0742, 0.2500, 0.3475), Ac at (0.3334, 0.2500, 0.9827), Ac at (0.3929, 0.7500, 0.6592), Sb at (0.3183, 0.7500, 0.2775), Pt at (0.1524, 0.2500, 0.6511) and N at (0.4135, 0.7500, 0.8972).

The value obtained for the total magnetization is 0.00 μB/atom. The calculated total energy is -74.5 eV/cell.

***

The following is a DFT calculation (PBE) of a relaxed Ac4PtSe2N crystal.

The structure belongs to space group P2/m (No. 10); the cell edges are 7.5921, 4.1615 and 7.8218 Å and the angles 90.00°, 109.02° and 90.00°. The distinct sites, in fractional coordinates, are Ac at (0.2101, 0.0000, 0.2080), Ac at (0.2551, 0.5000, 0.7716), Pt at (0.5000, 0.0000, 0.0000), Se at (0.0000, 0.0000, 0.5000), Se at (0.5000, 0.5000, 0.5000) and N at (0.0000, 0.5000, 0.0000).

The value obtained for the total magnetization is 0.00 μB/atom. The calculated total energy is -49.0 eV/cell.

***

Question: calculated total energy of number 5 (Ac3SbPtN)?
Answer: -74.5 eV/cell

***

Question: Which of these has the lowest calculated total energy?
Answer: Ac5RuPt2N

***

Question: What is the formula in the second record?
Answer: Ac4PtS2N

***

Repeat the third record exactly.
The following is a DFT calculation (PBE) of a relaxed Ac4SbPt2N crystal.

The structure belongs to space group Cmcm (No. 63); the cell edges are 4.4729, 14.7598 and 15.1336 Å and the angles 90.00°, 90.00° and 90.00°. The distinct sites, in fractional coordinates, are Ac at (0.0000, 0.0000, 0.0000), Ac at (0.0000, 0.2657, 0.1244), Ac at (0.0000, 0.4203, 0.7500), Sb at (0.0000, 0.1045, 0.7500), Pt at (0.0000, 0.3698, 0.5509) and N at (0.0000, 0.1672, 0.2500).

The value obtained for the total magnetization is 0.00 μB/atom. The calculated total energy is -198.9 eV/cell.